This record from Alexandria via LeMat-Bulk describes PmH2RuO6 after structural relaxation. The functional is PBE-GGA.

## Properties
DOS(E_F)	2.35	states/eV per cell
space group	P1, No. 1
total magnetic moment	1.03	μB/f.u.
DFT total energy	-6.457	eV per atom

Lattice parameters (Å, degrees): 5.086 5.362 5.982 90.05 116.77 119.56
Positions (direct):
Pm (0.968, 0.481, 0.472)
H (0.581, 0.733, 0.167)
H (0.665, 0.441, 0.804)
Ru (0.993, 0.022, 0.981)
O (0.529, 0.880, 0.779)
O (0.374, 0.014, 0.194)
O (0.807, 0.761, 0.214)
O (0.121, 0.356, 0.189)
O (0.802, 0.591, 0.742)
O (0.125, 0.199, 0.760)